# TiTlGe2Br (PBE, optimized geometry)
# **Electronic total energy**: -0.2345 Ry per atom
# **N(E_F)**: 1.6094 states/eV/atom
# **Size of the total moment**: 0.004 μB per formula unit
data_TiTlGe2Br
_chemical_formula_sum 'Ti1 Tl1 Ge2 Br1'
_cell_length_a 5.316
_cell_length_b 5.316
_cell_length_c 5.466
_cell_angle_alpha 90.00
_cell_angle_beta 90.00
_cell_angle_gamma 90.00
_space_group_name_H-M_alt 'P 4/m m m'
_space_group_IT_number 123
_space_group_name_Hall '-P 4 2'
loop_
_atom_site_label
_atom_site_type_symbol
_atom_site_fract_x
_atom_site_fract_y
_atom_site_fract_z
_atom_site_occupancy
Ti1 Ti 0.000 0.000 0.000 1
Tl1 Tl 0.000 0.000 0.500 1
Ge1 Ge 0.000 0.500 0.500 1
Br1 Br 0.500 0.500 0.000 1



# TiVGe2Br (PBE, optimized geometry)
# **Electronic total energy**: -0.3572 Ry per atom
# **N(E_F)**: 1.1102 states/eV/atom
# **Size of the total moment**: 0.000 μB per formula unit
data_TiVGe2Br
_chemical_formula_sum 'Ti1 V1 Ge2 Br1'
_cell_length_a 5.026
_cell_length_b 5.026
_cell_length_c 4.485
_cell_angle_alpha 90.00
_cell_angle_beta 90.00
_cell_angle_gamma 90.00
_space_group_name_H-M_alt 'P 4/m m m'
_space_group_IT_number 123
_space_group_name_Hall '-P 4 2'
loop_
_atom_site_label
_atom_site_type_symbol
_atom_site_fract_x
_atom_site_fract_y
_atom_site_fract_z
_atom_site_occupancy
Ti1 Ti 0.000 0.000 0.000 1
V1 V 0.000 0.000 0.500 1
Ge1 Ge 0.000 0.500 0.000 1
Br1 Br 0.500 0.500 0.500 1



> Among the records above, which one has the highest size of the total moment?

TiTlGe2Br